(1)
DFT (PBE-GGA) results for a geometry-optimized TmZn8Cu2 structure.

Calculated values
Total DFT energy (no corrections), eV per atom: -1.857
Energy of formation, eV per formula unit: 2.43

Lattice parameters (Å, degrees): 5.2416 5.2416 8.2255 90.00 90.00 90.00
Closest atoms and distances in Å follow each position.
Space group P4/mmm (No. 123)
Asymmetric unit:
1 Tm 0.0000 0.0000 0.0000 x1  8 Zn 3.02
2 Zn 0.2523 0.2523 0.2880 x8  2 Cu 2.54, 4 Zn 2.60-2.65
3 Cu 0.0000 0.5000 0.5000 x2  8 Zn 2.54

(2)
DFT (PBE-GGA) results for a geometry-optimized TmZn2Cu2 structure.

Calculated values
Total DFT energy (no corrections), eV per atom: -3.276
Energy of formation, eV per formula unit: -1.17
ΔE to the lowest computed polymorph, meV/atom: 0

Lattice parameters (Å, degrees): 3.6389 4.0423 11.3389 90.00 90.00 90.00
Closest atoms and distances in Å follow each position.
Space group Pmmn (No. 59, origin choice 2)
Asymmetric unit:
1 Tm 0.2500 0.2500 0.2485 x2  6 Cu 2.95-3.27, 6 Zn 3.01-3.25
2 Zn 0.2500 0.2500 0.6377 x2  5 Cu 2.44-2.49
3 Zn 0.2500 0.7500 0.9894 x2  4 Cu 2.54-2.55, 4 Zn 2.73
4 Cu 0.2500 0.2500 0.8532 x2  5 Zn 2.44-2.55
5 Cu 0.2500 0.7500 0.5124 x2  4 Zn 2.47-2.49, 4 Cu 2.73

(3)
DFT (PBE-GGA) results for a geometry-optimized TmZn7Cu5 structure.

Calculated values
Total DFT energy (no corrections), eV per atom: -2.787
Energy of formation, eV per formula unit: -2.37

Lattice parameters (Å, degrees): 4.9693 8.7606 8.6830 90.00 90.00 90.00
Closest atoms and distances in Å follow each position.
Space group Imm2 (No. 44)
Asymmetric unit:
1 Tm 0.0000 0.0000 0.0000 x2  10 Zn 2.97-3.17, 6 Cu 3.08-3.25
2 Zn 0.0000 0.0000 0.3419 x2  6 Cu 2.67-2.74, 3 Zn 2.67-2.85, 1 Tm 2.97
3 Zn 0.0000 0.0000 0.6495 x2  4 Cu 2.64, 5 Zn 2.67-2.89
4 Zn 0.0000 0.2897 0.4912 x4  5 Cu 2.51-2.64, 3 Zn 2.64-2.76
5 Zn 0.0000 0.3481 0.9844 x4  5 Cu 2.62-2.73, 4 Zn 2.66-2.84
6 Zn 0.0000 0.5000 0.2738 x2  4 Cu 2.54, 4 Zn 2.64-2.71
7 Cu 0.0000 0.5000 0.7093 x2  4 Cu 2.53, 6 Zn 2.64-2.74
8 Cu 0.2490 0.2494 0.2384 x8  3 Cu 2.47-2.53, 7 Zn 2.51-2.67